Entry 1:
A plane-wave DFT calculation with PBE-GGA was carried out for crystalline Hf2GaPd2 at its relaxed geometry.

energy above the lowest structure with this stoichiometry = 0.0000 eV/atom
formation energy from the elements = -3.1 eV/f.u.
electronic total energy = -7.29 eV/atom

abc: 7.370 7.370 3.383
angles: 90.00 90.00 90.00
Positions (direct):
1 Hf 0.171 0.671 0.500
2 Pd 0.130 0.370 0.000
3 Hf 0.829 0.329 0.500
4 Hf 0.671 0.829 0.500
5 Hf 0.329 0.171 0.500
6 Pd 0.370 0.870 0.000
7 Ga 0.500 0.500 0.000
8 Ga 0.000 0.000 0.000
9 Pd 0.870 0.630 0.000
10 Pd 0.630 0.130 0.000

=====

Entry 2:
A plane-wave DFT calculation with PBE-GGA was carried out for crystalline Hf2GaPd2 at its relaxed geometry.

energy above the lowest structure with this stoichiometry = 0.1850 eV/atom
formation energy from the elements = -2.2 eV/f.u.
electronic total energy = -7.11 eV/atom

abc: 7.752 7.752 3.184
angles: 90.00 90.00 90.00
Positions (direct):
1 Hf 0.334 0.834 0.000
2 Hf 0.834 0.666 0.000
3 Hf 0.666 0.166 0.000
4 Pd 0.871 0.371 0.500
5 Hf 0.166 0.334 0.000
6 Pd 0.371 0.129 0.500
7 Pd 0.629 0.871 0.500
8 Pd 0.129 0.629 0.500
9 Ga 0.500 0.500 0.000
10 Ga 0.000 0.000 0.000

=====

Entry 3:
A plane-wave DFT calculation with PBE-GGA was carried out for crystalline HfGa2Pd4 at its relaxed geometry.

energy above the lowest structure with this stoichiometry = 0.0000 eV/atom
formation energy from the elements = -4.5 eV/f.u.
electronic total energy = -5.90 eV/atom

abc: 6.728 5.773 7.147
angles: 105.17 110.98 107.08
Positions (direct):
1 Pd 0.071 0.270 0.491
2 Pd 0.915 0.685 0.674
3 Ga 0.506 0.343 0.605
4 Hf 0.167 0.793 0.458
5 Pd 0.485 0.755 0.828
6 Pd 0.716 0.049 0.633
7 Ga 0.701 0.320 0.255
8 Pd 0.832 0.529 0.010
9 Ga 0.698 0.816 0.249
10 Pd 0.341 0.172 0.866
11 Pd 0.390 0.513 0.312
12 Hf 0.955 0.078 0.043
13 Ga 0.146 0.480 0.894
14 Pd 0.328 0.948 0.183

=====

Entry 4:
A plane-wave DFT calculation with PBE-GGA was carried out for crystalline HfGa2Pd2 at its relaxed geometry.

energy above the lowest structure with this stoichiometry = 0.1049 eV/atom
formation energy from the elements = -2.5 eV/f.u.
electronic total energy = -5.77 eV/atom

abc: 3.697 3.697 6.862
angles: 74.37 74.37 90.00
Positions (direct):
1 Ga 0.750 0.250 0.500
2 Ga 0.250 0.750 0.500
3 Hf 0.000 0.000 0.000
4 Pd 0.396 0.396 0.207
5 Pd 0.604 0.604 0.793

=====

> What is the formation energy from the elements in the fourth record?

-2.5 eV/f.u.

=====

> Which formula does entry 2 have?

Hf2GaPd2

=====

> formation energy from the elements of number 2 (Hf2GaPd2)?

-2.2 eV/f.u.

=====

> Among the records above, which one has the highest electronic total energy?

HfGa2Pd2